Density functional theory data (PBEsol) for an optimized crystal structure of Si3C.

Results
Volume = 49.4 Å³/f.u.
ΔE_f (raw) = 742 meV/atom
E above lowest polymorph = 0.00 eV/f.u.

Structure (POSCAR):
```
Si3C
1.0
1.416 -2.495 0.000
1.416 2.495 0.000
0.000 0.000 6.995
Si C
3 1
Direct
0.000 0.000 0.000
0.500 0.500 0.314
0.500 0.500 0.686
0.000 0.000 0.500
```